No. 1
The following is a PBE calculation of a relaxed NaNiB2W crystal, from the Alexandria database. Values from VASP.

Results
Symmetry = P4/mmm, No. 123
M_tot = 1.177 μB/cell

The structure in Quantum ESPRESSO input format:
```
&SYSTEM
  ibrav = 0, nat = 5, ntyp = 4
/
ATOMIC_SPECIES
W 183.84 W.upf
Na 22.99 Na.upf
B 10.81 B.upf
Ni 58.69 Ni.upf
ATOMIC_POSITIONS crystal
W 0.0000 0.0000 0.0000
Na 0.0000 0.5000 0.0000
B 0.0000 0.0000 0.5000
Ni 0.5000 0.5000 0.5000
B 0.5000 0.0000 0.0000
CELL_PARAMETERS angstrom
-1.5301 -3.7961 0.5881
4.6075 -2.0956 -1.5395
1.3376 0.0670 3.9120
```

No. 2
The following is a PBE calculation of a relaxed NaZrNiB2 crystal, from the Alexandria database. Values from VASP.

Results
Symmetry = P4/mmm, No. 123
M_tot = 0.000 μB/cell

The structure in Quantum ESPRESSO input format:
```
&SYSTEM
  ibrav = 0, nat = 5, ntyp = 4
/
ATOMIC_SPECIES
Ni 58.69 Ni.upf
B 10.81 B.upf
Zr 91.22 Zr.upf
Na 22.99 Na.upf
ATOMIC_POSITIONS crystal
Ni 0.0000 0.5000 0.0000
B 0.0000 0.0000 0.5000
Zr 0.5000 0.5000 0.5000
B 0.5000 0.0000 0.0000
Na 0.0000 0.0000 0.0000
CELL_PARAMETERS angstrom
-1.3563 3.9284 0.2978
-3.6275 -1.3554 1.3583
1.3987 0.1857 3.9205
```

no.,energy relative to the elements (eV per atom),DFT total energy (eV/atom)
1,1.8578,-4.82
2,1.6676,-4.13